(1)
14
Lattice="-5.064 5.064 5.017 5.064 -5.064 5.017 5.064 5.064 -5.017" Properties=species:S:1:pos:R:3 comment="Ba8As5Au (PBE, optimized geometry)" formation_enthalpy_0k_mev_per_atom=-1064.1 energy_ev_per_cell=-56.80 pbc="T T T"
Ba 1.729 -0.771 3.106
Ba 0.651 3.139 0.658
Ba 3.335 5.835 -1.910
Ba 4.293 3.335 1.910
Ba -0.651 6.989 0.658
Ba 0.771 1.729 6.927
Ba -1.925 4.413 4.359
Ba 1.925 5.715 4.359
As 0.000 0.000 0.000
As 3.734 2.584 -1.248
As 2.480 -1.329 6.265
As 1.329 2.480 3.769
As 2.584 6.393 1.248
Au 5.064 0.000 2.508

(2)
10
Lattice="8.340 0.000 0.000 0.000 8.340 0.000 0.000 0.000 3.477" Properties=species:S:1:pos:R:3 comment="BaAs2Au2 (PBE, optimized geometry)" formation_enthalpy_0k_mev_per_atom=-204.6 energy_ev_per_cell=-37.60 pbc="T T T"
Ba 0.000 0.000 0.000
Ba 4.170 4.170 0.000
As 1.754 2.416 1.739
As 2.416 6.586 1.739
As 5.924 1.754 1.739
As 6.586 5.924 1.739
Au 0.974 5.144 0.000
Au 3.196 0.974 0.000
Au 5.144 7.366 0.000
Au 7.366 3.196 0.000